# 1
! DyErCoCu | Alexandria via LeMat-Bulk | PBE | relaxed; values from VASP
! - Size of the total moment: 0.00 Bohr magnetons per cell
! - Final energy: -21.30 eV for the cell shown
! - Energy relative to the lowest polymorph listed for this composition: 0.0 meV/atom
! - ΔH_f (0 K): -0.233 eV per atom
&SYSTEM
  ibrav = 0, nat = 4, ntyp = 4
/
ATOMIC_SPECIES
Cu 63.55 Cu.upf
Co 58.93 Co.upf
Dy 162.50 Dy.upf
Er 167.26 Er.upf
CELL_PARAMETERS angstrom
-2.3369 -2.6789 -1.2867
2.4791 -0.5512 -3.3548
3.8100 -2.1801 3.1737
ATOMIC_POSITIONS crystal
Cu 0.5683 0.5000 0.1366
Co 0.4280 0.0000 0.8560
Dy 0.1427 0.0000 0.2854
Er 0.8610 0.5000 0.7220



# 2
! EuDyCoCu | Alexandria via LeMat-Bulk | PBE | relaxed; values from VASP
! - Size of the total moment: 6.74 Bohr magnetons per cell
! - Final energy: -26.08 eV for the cell shown
! - ΔH_f (0 K): 0.000 eV per atom
&SYSTEM
  ibrav = 0, nat = 4, ntyp = 4
/
ATOMIC_SPECIES
Dy 162.50 Dy.upf
Cu 63.55 Cu.upf
Eu 151.96 Eu.upf
Co 58.93 Co.upf
CELL_PARAMETERS angstrom
4.8857 0.0000 0.0000
2.4428 4.2311 0.0000
2.4428 1.4104 3.9891
ATOMIC_POSITIONS crystal
Dy 0.7500 0.7500 0.7500
Cu 0.5000 0.5000 0.5000
Eu 0.2500 0.2500 0.2500
Co 0.0000 0.0000 0.0000



# 3
! Dy2Ga6CoCu | Alexandria via LeMat-Bulk | PBE | relaxed; values from VASP
! - Size of the total moment: 0.00 Bohr magnetons per cell
! - Final energy: -40.65 eV for the cell shown
! - ΔH_f (0 K): -0.209 eV per atom
&SYSTEM
  ibrav = 0, nat = 10, ntyp = 4
/
ATOMIC_SPECIES
Co 58.93 Co.upf
Dy 162.50 Dy.upf
Ga 69.72 Ga.upf
Cu 63.55 Cu.upf
CELL_PARAMETERS angstrom
6.4917 -0.0004 0.0000
0.0004 6.4917 0.0000
3.2460 3.2457 4.5904
ATOMIC_POSITIONS crystal
Co 0.0000 0.0000 0.0000
Dy 0.7500 0.2500 0.5000
Dy 0.2500 0.7500 0.5000
Ga 0.2484 0.7516 0.0000
Ga 0.7516 0.7516 0.4968
Ga 0.2484 0.2484 0.0000
Ga 0.7516 0.2484 0.0000
Ga 0.7516 0.7516 0.0000
Ga 0.2484 0.2484 0.5032
Cu 0.5000 0.5000 0.0000



# 4
! Dy2Co3CuGe4 | Alexandria via LeMat-Bulk | PBE | relaxed; values from VASP
! - Size of the total moment: 0.84 Bohr magnetons per cell
! - Final energy: -58.45 eV for the cell shown
! - ΔH_f (0 K): -0.536 eV per atom
&SYSTEM
  ibrav = 0, nat = 10, ntyp = 4
/
ATOMIC_SPECIES
Co 58.93 Co.upf
Dy 162.50 Dy.upf
Ge 72.64 Ge.upf
Cu 63.55 Cu.upf
CELL_PARAMETERS angstrom
4.0702 0.0000 0.0000
0.0000 4.0702 0.0000
0.0000 0.0000 9.7656
ATOMIC_POSITIONS crystal
Co 0.5000 0.0000 0.8754
Co 0.0000 0.5000 0.1246
Co 0.0000 0.0000 0.5000
Dy 0.5000 0.0000 0.2438
Dy 0.0000 0.5000 0.7562
Ge 0.5000 0.0000 0.6385
Ge 0.0000 0.5000 0.3615
Ge 0.5000 0.5000 0.0000
Ge 0.0000 0.0000 0.0000
Cu 0.5000 0.5000 0.5000



# 5
! DyCo2CuH8 | Alexandria via LeMat-Bulk | PBE | relaxed; values from VASP
! - Size of the total moment: 0.00 Bohr magnetons per cell
! - Final energy: -48.78 eV for the cell shown
&SYSTEM
  ibrav = 0, nat = 12, ntyp = 4
/
ATOMIC_SPECIES
H 1.01 H.upf
Co 58.93 Co.upf
Cu 63.55 Cu.upf
Dy 162.50 Dy.upf
CELL_PARAMETERS angstrom
-0.6790 -0.1621 4.4925
-2.9326 -2.0331 -2.8171
3.2281 -5.0784 0.3046
ATOMIC_POSITIONS crystal
H 0.7102 0.8551 0.8011
H 0.6667 0.3333 0.4171
H 0.8551 0.7102 0.1989
H 0.3333 0.6667 0.5829
H 0.1449 0.8551 0.8011
H 0.8551 0.1449 0.1989
H 0.1449 0.2898 0.8011
H 0.2898 0.1449 0.1989
Co 0.3333 0.6667 0.8398
Co 0.6667 0.3333 0.1602
Cu 0.0000 0.0000 0.0000
Dy 0.0000 0.0000 0.5000



# 6
! DyHfCoCu | Alexandria via LeMat-Bulk | PBE | relaxed; values from VASP
! - Size of the total moment: 0.00 Bohr magnetons per cell
! - Final energy: -26.42 eV for the cell shown
! - ΔH_f (0 K): -0.165 eV per atom
&SYSTEM
  ibrav = 0, nat = 4, ntyp = 4
/
ATOMIC_SPECIES
Cu 63.55 Cu.upf
Co 58.93 Co.upf
Dy 162.50 Dy.upf
Hf 178.49 Hf.upf
CELL_PARAMETERS angstrom
-1.0452 -0.6243 -4.4916
3.1509 -1.8402 -2.8882
-0.6073 -4.3003 -1.6717
ATOMIC_POSITIONS crystal
Cu 0.7500 0.7500 0.7500
Co 0.2500 0.2500 0.2500
Dy 0.5000 0.5000 0.5000
Hf 0.0000 0.0000 0.0000



Which of these has the highest final energy? DyErCoCu



Among the records above, which one has the highest final energy? DyErCoCu



Look up the size of the total moment of the first one. 0.00 Bohr magnetons per cell